Record 1
{"formula": "MgNbReSi2", "functional": "PBE", "state": "relaxed", "m_tot_mub_per_atom": 0.19, "sg": "P4/mmm, No. 123", "e_form_raw_ev_per_fu": 5.74, "lattice_angstrom": [[-1.2134, 2.2706, -4.1010], [-4.6921, -1.0494, 0.8072], [-0.5068, 4.1478, 2.4465]], "species": ["Mg", "Re", "Nb", "Si", "Si"], "fractional_positions": [[0.5000, 0.5000, 0.5000], [0.0000, 0.5000, 0.0000], [0.0000, 0.0000, 0.0000], [0.0000, 0.0000, 0.5000], [0.5000, 0.0000, 0.0000]]}

Record 2
{"formula": "Cd2RuBr", "functional": "PBE", "state": "relaxed", "m_tot_mub_per_atom": 0.25, "sg": "Fm-3m, No. 225", "e_form_raw_ev_per_fu": 2.86, "lattice_angstrom": [[0.0000, 3.4738, 3.4738], [3.4738, 0.0000, 3.4738], [3.4738, 3.4738, 0.0000]], "species": ["Ru", "Br", "Cd", "Cd"], "fractional_positions": [[0.5000, 0.5000, 0.5000], [0.0000, 0.0000, 0.0000], [0.2500, 0.2500, 0.2500], [0.7500, 0.7500, 0.7500]]}

Record 3
{"formula": "NiTeI6", "functional": "PBE", "state": "relaxed", "m_tot_mub_per_atom": 0.16, "sg": "C2/m, No. 12", "e_form_raw_ev_per_fu": 0.01, "lattice_angstrom": [[7.9400, -0.1939, -1.7728], [-2.3417, 6.5087, -3.1353], [-0.1434, -0.9802, 7.5297]], "species": ["Ni", "Te", "I", "I", "I", "I", "I", "I"], "fractional_positions": [[0.0000, 0.0000, 0.0000], [0.5000, 0.5000, 0.5000], [0.7378, 0.6675, 0.9614], [0.7378, 0.9614, 0.6675], [0.2622, 0.0386, 0.3325], [0.2622, 0.3325, 0.0386], [0.8857, 0.2840, 0.2840], [0.1143, 0.7160, 0.7160]]}

Record 4
{"formula": "YHoEr", "functional": "PBE", "state": "relaxed", "formation_enthalpy_0k_ev_per_atom": 0.0702, "m_tot_mub_per_atom": 0.00, "sg": "P-6m2, No. 187", "lattice_angstrom": [[-3.2943, 0.6988, -0.9318], [-1.5013, 0.0712, 5.3611], [1.6956, 4.6884, -2.4786]], "species": ["Y", "Ho", "Er"], "fractional_positions": [[0.6668, 0.6667, 0.3333], [0.1663, 0.0000, 0.0000], [0.1669, 0.3333, 0.6667]]}

Record 5
{"formula": "Hf4GeRh", "functional": "PBE", "state": "relaxed", "formation_enthalpy_0k_ev_per_atom": 0.0460, "m_tot_mub_per_atom": 0.00, "sg": "I4_1md, No. 109", "lattice_angstrom": [[7.2039, 0.0974, 0.0000], [-2.8199, 6.6298, 0.0000], [-2.1920, -3.3636, 5.9822]], "species": ["Hf", "Hf", "Hf", "Hf", "Hf", "Hf", "Hf", "Hf", "Ge", "Ge", "Rh", "Rh"], "fractional_positions": [[0.2476, 0.9524, 0.7048], [0.7537, 0.4460, 0.6923], [0.7024, 0.4976, 0.2048], [0.1960, 0.0037, 0.1923], [0.2928, 0.4976, 0.7952], [0.8113, 0.0037, 0.8077], [0.7537, 0.0613, 0.3077], [0.2476, 0.5428, 0.2952], [0.7456, 0.7456, 0.0000], [0.4956, 0.9956, 0.5000], [0.2519, 0.2519, 0.0000], [0.0019, 0.5019, 0.5000]]}

Record 6
{"formula": "Y4AlIn3", "functional": "PBE", "state": "relaxed", "formation_enthalpy_0k_ev_per_atom": -0.4749, "m_tot_mub_per_atom": 0.00, "sg": "P4/mmm, No. 123", "lattice_angstrom": [[-2.7677, 1.6180, -1.8271], [1.4924, -1.0639, -3.2027], [-7.9762, -12.9739, 0.5930]], "species": ["Y", "Y", "Y", "Y", "Al", "In", "In", "In"], "fractional_positions": [[0.0000, 0.0000, 0.8839], [0.0000, 0.0000, 0.1161], [0.0000, 0.0000, 0.3709], [0.0000, 0.0000, 0.6291], [0.5000, 0.5000, 0.0000], [0.5000, 0.5000, 0.2436], [0.5000, 0.5000, 0.5000], [0.5000, 0.5000, 0.7564]]}

Record 7
{"formula": "Ca3Al2Si4", "functional": "PBE", "state": "relaxed", "m_tot_mub_per_atom": 0.00, "sg": "C2/m, No. 12", "e_form_raw_ev_per_fu": -3.52, "lattice_angstrom": [[-3.4008, 0.1272, 2.1860], [3.1265, -5.2607, 1.4279], [3.1865, 6.4040, 4.5848]], "species": ["Ca", "Ca", "Ca", "Al", "Al", "Si", "Si", "Si", "Si"], "fractional_positions": [[0.6066, 0.2132, 0.6898], [0.0000, 0.0000, 0.0000], [0.3934, 0.7868, 0.3102], [0.7028, 0.4056, 0.3500], [0.2972, 0.5944, 0.6500], [0.7177, 0.4353, 0.0558], [0.2823, 0.5647, 0.9442], [0.9023, 0.8046, 0.6070], [0.0977, 0.1955, 0.3930]]}

Record 8
{"formula": "SrZrHg2", "functional": "PBE", "state": "relaxed", "formation_enthalpy_0k_ev_per_atom": -0.2413, "m_tot_mub_per_atom": 0.00, "sg": "Pmmm, No. 47", "lattice_angstrom": [[3.6643, 0.0000, 0.0000], [0.0000, 3.6458, -0.0115], [0.0000, 3.6713, 7.8012]], "species": ["Hg", "Hg", "Sr", "Zr"], "fractional_positions": [[0.0000, 0.0375, 0.9619], [0.0000, 0.4625, 0.5381], [0.5000, 0.2500, 0.2500], [0.5000, 0.7500, 0.7500]]}

Per-record density of states at the Fermi level, states/eV per cell: 3.9, 2.1, 4.0, 6.2, 12.0, 4.2, 1.1, 2.4